NdGa4Cu2Pd: relaxed, PBE.

```
NdGa4Cu2Pd
1.0
-3.2289 -1.9379 1.8929
-3.0792 -1.7124 -2.3132
2.4455 -9.0468 -0.3978
Nd Ga Cu Pd
1 4 2 1
Cartesian
0.0000 0.0000 0.0000
-0.5914 -8.6552 -0.4850
-4.5715 -6.6399 -0.5187
0.7090 -6.0572 -0.2994
-3.2711 -4.0419 -0.3331
-3.0286 -9.2962 -0.6061
-0.8340 -3.4009 -0.2120
-1.9313 -6.3486 -0.4091
```

Results
ΔH_f (0 K)	-0.402	eV per atom
volume	139.4	Å³/cell
space group	R-3m (166)
total DFT energy (no corrections)	-33.5	eV/cell